P:
The following is a GGA-PBE calculation of a geometry-optimized AlCoBi3 structure, from Alexandria via LeMat-Bulk.

extended XYZ file:
```
5
Lattice="5.145 0.000 0.000 0.000 5.145 0.000 0.000 0.000 5.145" Properties=species:S:1:pos:R:3 pbc="T T T"
Al 0.000 0.000 0.000
Co 2.572 2.572 2.572
Bi 0.000 2.572 2.572
Bi 2.572 0.000 2.572
Bi 2.572 2.572 0.000
```

## Properties
**Space group**: Pm-3m (221)
**N(E_F)**: 5.803 states/eV/cell

***

Q:
The following is a GGA-PBE calculation of a geometry-optimized AlCoBi3 structure, from Alexandria via LeMat-Bulk.

extended XYZ file:
```
5
Lattice="5.409 0.000 0.000 0.000 5.409 0.000 0.000 0.000 5.409" Properties=species:S:1:pos:R:3 pbc="T T T"
Al 0.000 0.000 0.000
Co 2.704 2.704 2.704
Bi 0.000 0.000 2.704
Bi 0.000 2.704 0.000
Bi 2.704 0.000 0.000
```

## Properties
**Space group**: Pm-3m (221)
**N(E_F)**: 6.675 states/eV/cell

***

In order of decreasing stability: P, Q.

***

P:
The following is a GGA-PBE calculation of a geometry-optimized AlCo3Bi structure, from Alexandria via LeMat-Bulk.

extended XYZ file:
```
5
Lattice="4.375 0.000 0.000 0.000 4.375 0.000 0.000 0.000 4.375" Properties=species:S:1:pos:R:3 pbc="T T T"
Al 0.000 0.000 0.000
Co 0.000 0.000 2.188
Co 0.000 2.188 0.000
Co 2.188 0.000 0.000
Bi 2.188 2.188 2.188
```

## Properties
**Space group**: Pm-3m (221)
**N(E_F)**: 5.397 states/eV/cell

***

Q:
The following is a GGA-PBE calculation of a geometry-optimized AlCo3Bi structure, from Alexandria via LeMat-Bulk.

extended XYZ file:
```
5
Lattice="4.790 0.000 0.000 0.000 4.790 0.000 0.000 0.000 4.790" Properties=species:S:1:pos:R:3 pbc="T T T"
Al 0.000 0.000 0.000
Co 0.000 2.395 2.395
Co 2.395 0.000 2.395
Co 2.395 2.395 0.000
Bi 2.395 2.395 2.395
```

## Properties
**Space group**: Pm-3m (221)
**N(E_F)**: 13.129 states/eV/cell

***

In order of decreasing stability: P, Q.

***

P:
The following is a GGA-PBE calculation of a geometry-optimized AlCr2Bi2 structure, from Alexandria via LeMat-Bulk.

extended XYZ file:
```
10
Lattice="8.506 0.000 0.000 0.000 8.506 0.000 0.000 0.000 3.307" Properties=species:S:1:pos:R:3 pbc="T T T"
Al 0.000 0.000 0.000
Al 4.253 4.253 0.000
Cr 1.128 3.125 1.653
Cr 3.125 7.378 1.653
Cr 5.381 1.128 1.653
Cr 7.378 5.381 1.653
Bi 1.390 5.643 0.000
Bi 2.863 1.390 0.000
Bi 5.643 7.116 0.000
Bi 7.116 2.863 0.000
```

## Properties
**Space group**: P4/mbm (127)
**N(E_F)**: 4.111 states/eV/cell

***

Q:
The following is a GGA-PBE calculation of a geometry-optimized AlCr2Bi2 structure, from Alexandria via LeMat-Bulk.

extended XYZ file:
```
5
Lattice="-1.672 1.672 10.038 1.672 -1.672 10.038 1.672 1.672 -10.038" Properties=species:S:1:pos:R:3 pbc="T T T"
Al 0.000 0.000 0.000
Cr 1.672 0.000 5.019
Cr 0.000 1.672 5.019
Bi 0.000 0.000 7.365
Bi 0.000 0.000 12.710
```

## Properties
**Space group**: I4/mmm (139)
**N(E_F)**: 5.616 states/eV/cell

***

In order of decreasing stability: Q, P.

***

P:
The following is a GGA-PBE calculation of a geometry-optimized AlCrBi3 structure, from Alexandria via LeMat-Bulk.

extended XYZ file:
```
5
Lattice="5.373 0.000 0.000 0.000 5.373 0.000 0.000 0.000 5.373" Properties=species:S:1:pos:R:3 pbc="T T T"
Al 0.000 0.000 0.000
Cr 2.687 2.687 2.687
Bi 0.000 0.000 2.687
Bi 0.000 2.687 0.000
Bi 2.687 0.000 0.000
```

## Properties
**Space group**: Pm-3m (221)
**N(E_F)**: 7.769 states/eV/cell

***

Q:
The following is a GGA-PBE calculation of a geometry-optimized AlCrBi3 structure, from Alexandria via LeMat-Bulk.

extended XYZ file:
```
5
Lattice="5.277 0.000 0.000 0.000 5.277 0.000 0.000 0.000 5.277" Properties=species:S:1:pos:R:3 pbc="T T T"
Al 0.000 0.000 0.000
Cr 2.638 2.638 2.638
Bi 0.000 2.638 2.638
Bi 2.638 0.000 2.638
Bi 2.638 2.638 0.000
```

## Properties
**Space group**: Pm-3m (221)
**N(E_F)**: 4.286 states/eV/cell

***

In order of decreasing stability: Q, P.

***

P:
The following is a GGA-PBE calculation of a geometry-optimized CsAl2Bi2 structure, from Alexandria via LeMat-Bulk.

extended XYZ file:
```
10
Lattice="9.516 0.000 0.000 0.000 9.516 0.000 0.000 0.000 3.919" Properties=species:S:1:pos:R:3 pbc="T T T"
Cs 0.000 0.000 0.000
Cs 4.758 4.758 0.000
Al 1.175 3.583 1.960
Al 3.583 8.341 1.960
Al 5.933 1.175 1.960
Al 8.341 5.933 1.960
Bi 1.144 5.902 0.000
Bi 3.614 1.144 0.000
Bi 5.902 8.372 0.000
Bi 8.372 3.614 0.000
```

## Properties
**Space group**: P4/mbm (127)
**N(E_F)**: 3.041 states/eV/cell

***

Q:
The following is a GGA-PBE calculation of a geometry-optimized CsAl2Bi2 structure, from Alexandria via LeMat-Bulk.

extended XYZ file:
```
5
Lattice="-2.690 2.690 5.523 2.690 -2.690 5.523 2.690 2.690 -5.523" Properties=species:S:1:pos:R:3 pbc="T T T"
Cs 0.000 0.000 0.000
Al 0.000 0.000 4.163
Al 0.000 0.000 6.883
Bi 2.690 0.000 2.762
Bi 0.000 2.690 2.762
```

## Properties
**Space group**: I4/mmm (139)
**N(E_F)**: 1.757 states/eV/cell

***

In order of decreasing stability: Q, P.

***

P:
The following is a GGA-PBE calculation of a geometry-optimized Cs2AlBi2 structure, from Alexandria via LeMat-Bulk.

extended XYZ file:
```
10
Lattice="8.409 -3.693 0.000 8.409 3.693 0.000 -6.116 0.000 8.691" Properties=species:S:1:pos:R:3 pbc="T T T"
Cs -0.192 0.000 3.426
Cs 3.577 0.000 1.142
Cs 7.125 0.000 7.549
Cs 10.894 0.000 5.265
Al 7.507 0.000 1.222
Al 3.194 0.000 7.469
Bi 0.432 0.000 7.353
Bi 3.876 0.000 4.856
Bi 6.826 0.000 3.835
Bi 10.269 0.000 1.338
```

## Properties
**Space group**: C2/m (12)
**N(E_F)**: 0.306 states/eV/cell

***

Q:
The following is a GGA-PBE calculation of a geometry-optimized Cs2AlBi2 structure, from Alexandria via LeMat-Bulk.

extended XYZ file:
```
10
Lattice="-2.331 2.331 24.109 2.331 -2.331 24.109 2.331 2.331 -24.109" Properties=species:S:1:pos:R:3 pbc="T T T"
Cs 2.331 1.165 -9.565
Cs 0.000 1.165 2.489
Cs 2.331 1.165 21.619
Cs 0.000 1.165 33.674
Al 2.331 -1.165 18.081
Al 0.000 3.496 6.027
Bi 2.331 1.165 -4.415
Bi 0.000 1.165 7.639
Bi 2.331 1.165 16.469
Bi 0.000 1.165 28.524
```

## Properties
**Space group**: I4_1/amd (141)
**N(E_F)**: 4.375 states/eV/cell

***

R:
The following is a GGA-PBE calculation of a geometry-optimized Cs2AlBi2 structure, from Alexandria via LeMat-Bulk.

extended XYZ file:
```
10
Lattice="7.979 0.000 0.000 0.000 7.979 0.000 0.000 0.000 6.521" Properties=species:S:1:pos:R:3 pbc="T T T"
Cs 1.355 2.635 0.000
Cs 2.635 6.624 0.000
Cs 5.345 1.355 0.000
Cs 6.624 5.345 0.000
Al 0.000 0.000 3.261
Al 3.990 3.990 3.261
Bi 1.152 5.142 3.261
Bi 2.838 1.152 3.261
Bi 5.142 6.827 3.261
Bi 6.827 2.838 3.261
```

## Properties
**Space group**: P4/mbm (127)
**N(E_F)**: 4.764 states/eV/cell

***

In order of decreasing stability: P, R, Q.

***

P:
The following is a GGA-PBE calculation of a geometry-optimized AlCuBi structure, from Alexandria via LeMat-Bulk.

extended XYZ file:
```
6
Lattice="14.018 0.000 0.000 0.000 1.607 2.830 0.000 -1.607 2.830" Properties=species:S:1:pos:R:3 pbc="T T T"
Al 0.000 0.000 0.000
Al 7.009 0.000 1.431
Cu 1.709 0.000 1.884
Cu 12.309 0.000 1.884
Bi 4.125 0.000 4.975
Bi 9.893 0.000 4.975
```

## Properties
**Space group**: Amm2 (38)
**N(E_F)**: 2.273 states/eV/cell

***

Q:
The following is a GGA-PBE calculation of a geometry-optimized AlCuBi structure, from Alexandria via LeMat-Bulk.

extended XYZ file:
```
6
Lattice="4.062 0.000 0.000 0.000 4.062 0.000 0.000 0.000 7.196" Properties=species:S:1:pos:R:3 pbc="T T T"
Al 1.015 3.046 0.000
Al 3.046 1.015 0.000
Cu 1.015 1.015 1.574
Cu 3.046 3.046 5.622
Bi 1.015 1.015 4.566
Bi 3.046 3.046 2.630
```

## Properties
**Space group**: P4/nmm (129)
**N(E_F)**: 2.047 states/eV/cell

***

In order of decreasing stability: Q, P.

***

P:
The following is a GGA-PBE calculation of a geometry-optimized DyAlBi2 structure, from Alexandria via LeMat-Bulk.

extended XYZ file:
```
4
Lattice="4.973 0.000 0.000 0.000 4.973 0.000 0.000 0.000 4.367" Properties=species:S:1:pos:R:3 pbc="T T T"
Dy 0.000 0.000 0.000
Al 2.487 2.487 0.000
Bi 0.000 2.487 2.184
Bi 2.487 0.000 2.184
```

## Properties
**Space group**: P4/mmm (123)
**N(E_F)**: 1.792 states/eV/cell

***

Q:
The following is a GGA-PBE calculation of a geometry-optimized DyAlBi2 structure, from Alexandria via LeMat-Bulk.

extended XYZ file:
```
4
Lattice="2.473 1.428 8.147 -2.473 1.428 8.147 0.000 -2.856 8.147" Properties=species:S:1:pos:R:3 pbc="T T T"
Dy 0.000 0.000 0.000
Al 0.000 0.000 12.220
Bi 0.000 0.000 9.605
Bi 0.000 0.000 14.836
```

## Properties
**Space group**: R-3m (166)
**N(E_F)**: 0.706 states/eV/cell

***

In order of decreasing stability: P, Q.

***

P:
The following is a GGA-PBE calculation of a geometry-optimized Er4AlBi structure, from Alexandria via LeMat-Bulk.

extended XYZ file:
```
12
Lattice="2.798 -10.341 0.000 2.798 10.341 0.000 0.000 0.000 6.337" Properties=species:S:1:pos:R:3 pbc="T T T"
Er 2.798 9.093 4.753
Er 2.798 6.075 6.337
Er 2.798 6.075 3.169
Er 2.798 2.600 4.753
Er 2.798 -2.600 1.584
Er 2.798 -6.075 0.001
Er 2.798 -6.075 3.168
Er 2.798 -9.093 1.584
Al 2.798 8.675 1.584
Al 2.798 -8.675 4.753
Bi 2.798 3.080 1.584
Bi 2.798 -3.080 4.753
```

## Properties
**Space group**: Cmcm (63)
**N(E_F)**: 14.633 states/eV/cell

***

Q:
The following is a GGA-PBE calculation of a geometry-optimized Er4AlBi structure, from Alexandria via LeMat-Bulk.

extended XYZ file:
```
24
Lattice="0.000 6.967 6.967 6.967 0.000 6.967 6.967 6.967 0.000" Properties=species:S:1:pos:R:3 pbc="T T T"
Er 6.967 6.967 2.573
Er 6.967 2.573 6.967
Er 11.361 6.967 6.967
Er 5.166 5.166 5.166
Er 8.768 8.768 5.166
Er 8.768 5.166 8.768
Er 10.451 10.451 7.736
Er 10.451 7.736 10.451
Er 13.165 10.451 10.451
Er 2.573 6.967 6.967
Er 6.967 11.361 6.967
Er 6.967 6.967 11.361
Er 5.166 8.768 8.768
Er 7.736 10.451 10.451
Er 10.451 13.165 10.451
Er 10.451 10.451 13.165
Al 2.153 2.153 2.153
Al 4.814 4.814 2.153
Al 4.814 2.153 4.814
Al 2.153 4.814 4.814
Bi 8.315 5.619 5.619
Bi 5.619 8.315 5.619
Bi 5.619 5.619 8.315
Bi 8.315 8.315 8.315
```

## Properties
**Space group**: F-43m (216)
**N(E_F)**: 23.423 states/eV/cell

***

In order of decreasing stability: Q, P.

***

P:
The following is a GGA-PBE calculation of a geometry-optimized Al2Bi2F structure, from Alexandria via LeMat-Bulk.

extended XYZ file:
```
10
Lattice="6.383 0.000 0.000 0.000 6.383 0.000 0.000 0.000 5.559" Properties=species:S:1:pos:R:3 pbc="T T T"
Al 0.988 2.204 0.000
Al 2.204 5.395 0.000
Al 4.179 0.988 0.000
Al 5.395 4.179 0.000
Bi 1.530 4.721 2.779
Bi 1.662 1.530 2.779
Bi 4.721 4.853 2.779
Bi 4.853 1.662 2.779
F 0.000 0.000 0.000
F 3.191 3.191 0.000
```

## Properties
**Space group**: P4/mbm (127)
**N(E_F)**: 3.114 states/eV/cell

***

Q:
The following is a GGA-PBE calculation of a geometry-optimized Al2Bi2F structure, from Alexandria via LeMat-Bulk.

extended XYZ file:
```
5
Lattice="-2.387 2.387 5.869 2.387 -2.387 5.869 2.387 2.387 -5.869" Properties=species:S:1:pos:R:3 pbc="T T T"
Al 0.000 0.000 1.242
Al 0.000 0.000 10.496
Bi 2.387 0.000 2.934
Bi 0.000 2.387 2.934
F 0.000 0.000 5.869
```

## Properties
**Space group**: I4/mmm (139)
**N(E_F)**: 1.550 states/eV/cell

***

In order of decreasing stability: P, Q.

***

P:
The following is a GGA-PBE calculation of a geometry-optimized AlBiF2 structure, from Alexandria via LeMat-Bulk.

extended XYZ file:
```
4
Lattice="1.635 0.944 9.218 -1.635 0.944 9.218 0.000 -1.887 9.218" Properties=species:S:1:pos:R:3 pbc="T T T"
Al 0.000 0.000 0.000
Bi 0.000 0.000 13.826
F 0.000 0.000 1.698
F 0.000 0.000 25.954
```

## Properties
**Space group**: R-3m (166)
**N(E_F)**: 2.314 states/eV/cell

***

Q:
The following is a GGA-PBE calculation of a geometry-optimized AlBiF2 structure, from Alexandria via LeMat-Bulk.

extended XYZ file:
```
4
Lattice="0.000 3.242 3.242 3.242 0.000 3.242 3.242 3.242 0.000" Properties=species:S:1:pos:R:3 pbc="T T T"
Al 0.000 0.000 0.000
Bi 3.242 3.242 3.242
F 1.621 1.621 1.621
F 4.864 4.864 4.864
```

## Properties
**Space group**: Fm-3m (225)
**N(E_F)**: 3.909 states/eV/cell

***

R:
The following is a GGA-PBE calculation of a geometry-optimized AlBiF2 structure, from Alexandria via LeMat-Bulk.

extended XYZ file:
```
8
Lattice="0.000 4.204 4.204 4.204 0.000 4.204 4.204 4.204 0.000" Properties=species:S:1:pos:R:3 pbc="T T T"
Al 1.051 1.051 1.051
Al 7.357 7.357 7.357
Bi 3.153 3.153 3.153
Bi 5.255 5.255 5.255
F 0.000 0.000 0.000
F 2.102 2.102 0.000
F 2.102 0.000 2.102
F 0.000 2.102 2.102
```

## Properties
**Space group**: Fd-3m (227)
**N(E_F)**: 1.534 states/eV/cell

***

In order of decreasing stability: R, P, Q.